[1]
DFT (PBE-GGA) results for crystalline LiCu2SiMo at its relaxed geometry.

Calculated values
ρ = 6.36 g/cm3
Energy relative to the elements, uncorrected = 0.83 eV per atom

Cell lengths 3.892, 3.892, 4.452 Å; angles 90.00, 90.00, 90.00 degrees
Space group P4/mmm (No. 123)
One atom of each set of equivalent atoms:
Li: 0.000 0.000 0.000 x1
Cu: 0.000 0.500 0.000 x2
Si: 0.500 0.500 0.500 x1
Mo: 0.000 0.000 0.500 x1

***

[2]
DFT (PBE-GGA) results for crystalline NpTl2CuTe4 at its relaxed geometry.

Calculated values
ρ = 8.57 g/cm3
Energy relative to the elements, uncorrected = -0.22 eV per atom

Cell lengths 7.961, 7.961, 7.460 Å; angles 90.00, 90.00, 90.00 degrees
Space group I-42m (No. 121)
One atom of each set of equivalent atoms:
Np: 0.000 0.000 0.000 x2
Tl: 0.000 0.500 0.000 x4
Cu: 0.000 0.000 0.500 x2
Te: 0.188 0.188 0.293 x8

***

[3]
DFT (PBE-GGA) results for crystalline Cs3AsPd at its relaxed geometry.

Calculated values
ρ = 3.63 g/cm3
Energy relative to the elements = -98 kJ/mol of formula units

Cell lengths 13.486, 16.004, 4.915 Å; angles 90.00, 90.00, 90.00 degrees
Space group Cmcm (No. 63)
One atom of each set of equivalent atoms:
Cs: 0.000 0.148 0.250 x4
Cs: 0.178 0.378 0.250 x8
As: 0.000 0.304 0.750 x4
Pd: 0.000 0.453 0.750 x4

***

[4]
DFT (PBE-GGA) results for crystalline HoTm4Al4 at its relaxed geometry.

Calculated values
ρ = 7.17 g/cm3
Energy relative to the elements = -133 kJ/mol of formula units

Cell lengths 8.846, 8.846, 5.613 Å; angles 90.00, 90.00, 90.00 degrees
Space group P4_2/n (No. 86, origin choice 2)
One atom of each set of equivalent atoms:
Ho: 0.250 0.250 0.250 x2
Tm: 0.089 0.825 0.646 x8
Al: 0.055 0.154 0.840 x8

***

[5]
DFT (PBE-GGA) results for crystalline BaTeMoI2 at its relaxed geometry.

Calculated values
ρ = 5.54 g/cm3
ΔE to the lowest computed polymorph = 0 meV per atom
Energy relative to the elements, uncorrected = -0.45 eV per atom

Cell lengths 5.685, 5.685, 5.706 Å; angles 90.00, 90.00, 90.00 degrees
Space group P4/mmm (No. 123)
One atom of each set of equivalent atoms:
Ba: 0.000 0.000 0.000 x1
Te: 0.500 0.500 0.000 x1
Mo: 0.500 0.500 0.500 x1
I: 0.000 0.500 0.500 x2

***

[6]
DFT (PBE-GGA) results for crystalline InGa6 at its relaxed geometry.

Calculated values
ρ = 6.20 g/cm3
Energy relative to the elements = 17 kJ/mol of formula units
ΔE to the lowest computed polymorph = 0 meV per atom

Cell lengths 5.829, 5.829, 8.404 Å; angles 90.00, 90.00, 90.00 degrees
Space group P4/nbm (No. 125, origin choice 2)
One atom of each set of equivalent atoms:
In: 0.250 0.750 0.000 x2
Ga: 0.071 0.571 0.356 x8
Ga: 0.250 0.250 0.156 x4

***

[7]
DFT (PBE-GGA) results for crystalline Zr2TiNi2 at its relaxed geometry.

Calculated values
ρ = 6.78 g/cm3
Energy relative to the elements = -143 kJ/mol of formula units
ΔE to the lowest computed polymorph = 23 meV per atom

Cell lengths 7.195, 7.195, 3.288 Å; angles 90.00, 90.00, 90.00 degrees
Space group P4/mbm (No. 127)
One atom of each set of equivalent atoms:
Zr: 0.173 0.327 0.000 x4
Ti: 0.000 0.000 0.500 x2
Ni: 0.125 0.625 0.500 x4

***

[8]
DFT (PBE-GGA) results for crystalline KSnHg2Se4 at its relaxed geometry.

Calculated values
ρ = 5.76 g/cm3
Energy relative to the elements, uncorrected = -0.44 eV per atom

Cell lengths 10.717, 10.719, 8.781 Å; angles 90.00, 90.00, 90.00 degrees
Space group Fmm2 (No. 42)
One atom of each set of equivalent atoms:
K: 0.000 0.000 0.000 x4
Sn: 0.000 0.000 0.500 x4
Hg: 0.250 0.250 0.249 x8
Se: 0.000 0.198 0.332 x8
Se: 0.198 0.000 0.668 x8

***

[9]
DFT (PBE-GGA) results for crystalline InRuF2 at its relaxed geometry.

Calculated values
ρ = 7.12 g/cm3
ΔE to the lowest computed polymorph = 393 meV per atom
Energy relative to the elements, uncorrected = -0.54 eV per atom

Cell lengths 6.188, 6.188, 6.188 Å; angles 90.00, 90.00, 90.00 degrees
Space group Fm-3m (No. 225)
One atom of each set of equivalent atoms:
In: 0.000 0.000 0.000 x4
Ru: 0.000 0.000 0.500 x4
F: 0.250 0.250 0.250 x8

***

[10]
DFT (PBE-GGA) results for crystalline Pm9Tm2Th at its relaxed geometry.

Calculated values
ρ = 7.75 g/cm3
Energy relative to the elements = 37 kJ/mol of formula units

Cell lengths 5.115, 5.115, 15.344 Å; angles 90.00, 90.00, 90.00 degrees
Space group P4/mmm (No. 123)
One atom of each set of equivalent atoms:
Pm: 0.000 0.000 0.000 x1
Pm: 0.000 0.000 0.336 x2
Pm: 0.000 0.500 0.166 x4
Pm: 0.000 0.500 0.500 x2
Tm: 0.500 0.500 0.334 x2
Th: 0.500 0.500 0.000 x1

***

[11]
DFT (PBE-GGA) results for crystalline ThAlSb2 at its relaxed geometry.

Calculated values
ρ = 8.19 g/cm3
Energy relative to the elements, uncorrected = -0.45 eV per atom

Cell lengths 4.878, 4.878, 4.283 Å; angles 90.00, 90.00, 90.00 degrees
Space group P4/mmm (No. 123)
One atom of each set of equivalent atoms:
Th: 0.000 0.000 0.000 x1
Al: 0.500 0.500 0.000 x1
Sb: 0.000 0.500 0.500 x2

***

[12]
DFT (PBE-GGA) results for crystalline HgRhW3 at its relaxed geometry.

Calculated values
ρ = 13.47 g/cm3
Energy relative to the elements = 944 kJ/mol of formula units

Cell lengths 4.724, 4.724, 4.724 Å; angles 90.00, 90.00, 90.00 degrees
Space group Pm-3m (No. 221)
One atom of each set of equivalent atoms:
Hg: 0.000 0.000 0.000 x1
Rh: 0.500 0.500 0.500 x1
W: 0.000 0.500 0.500 x3

***

[13]
DFT (PBE-GGA) results for crystalline Sm4YSe5 at its relaxed geometry.

Calculated values
ρ = 7.10 g/cm3
ΔE to the lowest computed polymorph = 0 meV per atom
Energy relative to the elements, uncorrected = -1.80 eV per atom

Cell lengths 4.150, 4.150, 29.495 Å; angles 90.00, 90.00, 90.00 degrees
Space group I4/mmm (No. 139)
One atom of each set of equivalent atoms:
Sm: 0.000 0.000 0.102 x4
Sm: 0.000 0.000 0.304 x4
Y: 0.000 0.000 0.500 x2
Se: 0.000 0.000 0.000 x2
Se: 0.000 0.000 0.202 x4
Se: 0.000 0.000 0.403 x4

***

[14]
DFT (PBE-GGA) results for crystalline Fe2IrOs at its relaxed geometry.

Calculated values
ρ = 15.77 g/cm3
Energy relative to the elements = 20 kJ/mol of formula units

Cell lengths 8.781, 2.674, 4.504 Å; angles 90.00, 100.27, 90.00 degrees
Space group Cm (No. 8)
One atom of each set of equivalent atoms:
Fe: 0.000 0.000 0.000 x2
Fe: 0.248 0.500 0.239 x2
Ir: 0.249 0.000 0.742 x2
Os: 0.499 0.000 0.490 x2

***

[15]
DFT (PBE-GGA) results for crystalline BeRu2BrO at its relaxed geometry.

Calculated values
ρ = 5.90 g/cm3
Energy relative to the elements, uncorrected = 1.86 eV per atom

Cell lengths 4.647, 4.647, 4.001 Å; angles 90.00, 90.00, 90.00 degrees
Space group P4/mmm (No. 123)
One atom of each set of equivalent atoms:
Be: 0.000 0.000 0.000 x1
Ru: 0.000 0.500 0.500 x2
Br: 0.000 0.000 0.500 x1
O: 0.500 0.500 0.000 x1

***

[16]
DFT (PBE-GGA) results for crystalline SbHO2F at its relaxed geometry.

Calculated values
ρ = 4.47 g/cm3
Electronic total energy = -5.10 eV/atom

Cell lengths 3.384, 3.817, 5.610 Å; angles 99.61, 96.18, 113.10 degrees
Space group P1 (No. 1)
One atom of each set of equivalent atoms:
Sb: 0.000 0.000 0.000 x1
H: 0.245 0.843 0.585 x1
O: 0.219 0.730 0.734 x1
O: 0.674 0.422 0.030 x1
F: 0.335 0.999 0.323 x1

***

[17]
DFT (PBE-GGA) results for crystalline Ta5Mo3 at its relaxed geometry.

Calculated values
ρ = 14.34 g/cm3
Energy relative to the elements = -83 kJ/mol of formula units
ΔE to the lowest computed polymorph = 65 meV per atom

Cell lengths 4.6106, 4.6106, 22.5069 Å; angles 90.00, 90.00, 120.00 degrees
Space group R3m (No. 160, hexagonal axes)
One atom of each set of equivalent atoms:
Ta: 0.0000 0.0000 0.0000 x3
Ta: 0.0000 0.0000 0.1261 x3
Ta: 0.0000 0.0000 0.2537 x3
Ta: 0.0000 0.0000 0.6243 x3
Ta: 0.0000 0.0000 0.8707 x3
Mo: 0.0000 0.0000 0.3782 x3
Mo: 0.0000 0.0000 0.4989 x3
Mo: 0.0000 0.0000 0.7473 x3

***

[18]
DFT (PBE-GGA) results for crystalline LaHfOs3 at its relaxed geometry.

Calculated values
ρ = 13.50 g/cm3
Energy relative to the elements = 1090 kJ/mol of formula units
ΔE to the lowest computed polymorph = 1030 meV per atom

Cell lengths 4.780, 4.780, 4.780 Å; angles 90.00, 90.00, 90.00 degrees
Space group Pm-3m (No. 221)
One atom of each set of equivalent atoms:
La: 0.000 0.000 0.000 x1
Hf: 0.500 0.500 0.500 x1
Os: 0.000 0.000 0.500 x3

***

[19]
DFT (PBE-GGA) results for crystalline Mo3PC at its relaxed geometry.

Calculated values
ρ = 7.89 g/cm3
Energy relative to the elements = 70 kJ/mol of formula units
ΔE to the lowest computed polymorph = 0 meV per atom

Cell lengths 5.310, 12.546, 4.178 Å; angles 90.00, 90.00, 90.00 degrees
Space group Cmmm (No. 65)
One atom of each set of equivalent atoms:
Mo: 0.000 0.108 0.000 x4
Mo: 0.237 0.500 0.500 x4
Mo: 0.250 0.250 0.500 x4
P: 0.000 0.357 0.000 x4
C: 0.000 0.120 0.500 x4

***

[20]
DFT (PBE-GGA) results for crystalline YPaNi2 at its relaxed geometry.

Calculated values
ρ = 9.23 g/cm3
Energy relative to the elements = -150 kJ/mol of formula units
ΔE to the lowest computed polymorph = 0 meV per atom

Cell lengths 5.417, 4.341, 7.042 Å; angles 90.00, 108.21, 90.00 degrees
Space group P2_1/m (No. 11)
One atom of each set of equivalent atoms:
Y: 0.239 0.250 0.437 x2
Pa: 0.202 0.250 0.924 x2
Ni: 0.338 0.750 0.751 x2
Ni: 0.341 0.750 0.169 x2

***

[21]
DFT (PBE-GGA) results for crystalline Nd5Er2Ir4 at its relaxed geometry.

Calculated values
ρ = 8.78 g/cm3
Energy relative to the elements = -256 kJ/mol of formula units

Cell lengths 22.075, 4.198, 7.591 Å; angles 90.00, 101.03, 90.00 degrees
Space group C2/m (No. 12)
One atom of each set of equivalent atoms:
Nd: 0.000 0.000 0.000 x2
Nd: 0.082 0.500 0.444 x4
Nd: 0.162 0.500 0.974 x4
Er: 0.213 0.000 0.630 x4
Ir: 0.038 0.500 0.782 x4
Ir: 0.106 0.000 0.731 x4

***

[22]
DFT (PBE-GGA) results for crystalline Y2HfTh at its relaxed geometry.

Calculated values
ρ = 8.39 g/cm3
Energy relative to the elements = 51 kJ/mol of formula units
ΔE to the lowest computed polymorph = 0 meV per atom

Cell lengths 4.818, 4.818, 5.018 Å; angles 90.00, 90.00, 90.00 degrees
Space group P4/mmm (No. 123)
One atom of each set of equivalent atoms:
Y: 0.000 0.500 0.000 x2
Hf: 0.000 0.000 0.500 x1
Th: 0.500 0.500 0.500 x1

***

[23]
DFT (PBE-GGA) results for crystalline YSnI2 at its relaxed geometry.

Calculated values
ρ = 5.38 g/cm3
ΔE to the lowest computed polymorph = 0 meV per atom
Energy relative to the elements, uncorrected = -0.62 eV per atom

Cell lengths 3.8815, 3.8815, 32.7194 Å; angles 90.00, 90.00, 120.00 degrees
Space group R-3m (No. 166, hexagonal axes)
One atom of each set of equivalent atoms:
Y: 0.0000 0.0000 0.0000 x3
Sn: 0.0000 0.0000 0.5000 x3
I: 0.0000 0.0000 0.3984 x6

***

[24]
DFT (PBE-GGA) results for crystalline SrRuSe2 at its relaxed geometry.

Calculated values
ρ = 6.71 g/cm3
ΔE to the lowest computed polymorph = 1123 meV per atom
Energy relative to the elements, uncorrected = 0.24 eV per atom

Cell lengths 7.001, 7.001, 7.001 Å; angles 90.00, 90.00, 90.00 degrees
Space group F-43m (No. 216)
One atom of each set of equivalent atoms:
Sr: 0.000 0.000 0.000 x4
Ru: 0.250 0.250 0.750 x4
Se: 0.000 0.000 0.500 x4
Se: 0.250 0.250 0.250 x4

***

[25]
DFT (PBE-GGA) results for crystalline ScTe2IF at its relaxed geometry.

Calculated values
ρ = 5.49 g/cm3
ΔE to the lowest computed polymorph = 78 meV per atom
Energy relative to the elements, uncorrected = -0.34 eV per atom

Cell lengths 4.726, 4.726, 6.037 Å; angles 90.00, 90.00, 90.00 degrees
Space group P4/mmm (No. 123)
One atom of each set of equivalent atoms:
Sc: 0.000 0.000 0.000 x1
Te: 0.000 0.500 0.500 x2
I: 0.500 0.500 0.000 x1
F: 0.500 0.500 0.500 x1